No. 1
In2RuRh: relaxed, PBEsol.

Calculated values
ΔE_f in meV/atom: -202.9
Spin magnetization in Bohr magnetons per cell: 0.0

a = 4.479 Å, b = 4.479 Å, c = 3.210 Å
α = 90.00°, β = 90.00°, γ = 90.00°
Positions (direct):
In  0.000  0.500  0.000
In  0.500  0.000  0.000
Ru  0.000  0.000  0.500
Rh  0.500  0.500  0.500

No. 2
KZrMo2: relaxed, PBEsol.

Calculated values
ΔE_f in meV/atom: 1043.1
Spin magnetization in Bohr magnetons per cell: 0.0
Energy relative to the lowest polymorph listed for this composition in eV/atom: 0.163

a = 5.175 Å, b = 5.175 Å, c = 7.209 Å
α = 90.43°, β = 90.43°, γ = 29.55°
Positions (direct):
K  0.000  0.000  0.000
Zr  0.500  0.500  0.500
Mo  0.243  0.243  0.660
Mo  0.757  0.757  0.340

No. 3
SrNiP2: relaxed, PBEsol.

Calculated values
ΔE_f in meV/atom: 114.5
Spin magnetization in Bohr magnetons per cell: 0.0

a = 5.201 Å, b = 5.201 Å, c = 5.201 Å
α = 134.77°, β = 134.77°, γ = 65.88°
Positions (direct):
Sr  0.000  0.000  0.000
Ni  0.750  0.250  0.500
P  0.250  0.750  0.500
P  0.500  0.500  0.000